Record 1
This record from the Alexandria database describes a relaxed structure of Ca2Er2Hg7. The functional is PBE-GGA.

Energy of formation (kJ/mol of formula units): -123

Unit cell a=8.462 b=10.451 c=7.598 alpha=90.00 beta=90.00 gamma=90.00
Space group Cmmm (No. 65)
Unique sites:
Ca1 0.000 0.200 0.000 x4
Er1 0.197 0.500 0.500 x4
Hg1 0.000 0.000 0.298 x4
Hg2 0.000 0.500 0.000 x2
Hg3 0.250 0.250 0.296 x8

***

Record 2
This record from the Alexandria database describes a relaxed structure of Ca2ErHg4. The functional is PBE-GGA.

Energy of formation (kJ/mol of formula units): -259

Unit cell a=5.1706 b=5.1706 c=26.2460 alpha=90.00 beta=90.00 gamma=120.00
Space group R-3m (No. 166, hexagonal axes)
Unique sites:
Ca1 0.0000 0.0000 0.2445 x6
Er1 0.0000 0.0000 0.0000 x3
Hg1 0.0000 0.0000 0.1234 x6
Hg2 0.0000 0.0000 0.3691 x6